Record 1
Here is crystalline AcPmTl at its relaxed geometry from the Alexandria database. Energies are from PBE.

Geometry as POSCAR:
```
AcPmTl
1.0
3.8820 0.0000 0.0000
0.0000 3.8820 0.0000
-1.9410 -1.9410 7.0103
Tl Ac Pm
1 1 1
direct
0.6052 0.6052 0.2104
0.2753 0.2753 0.5506
0.9695 0.9695 0.9390
```

Distance to the lowest polymorph of the same formula (kJ/mol of formula units): 14.2
Formation energy (eV per formula unit): -0.6
VASP energy (eV per atom): -3.947

Record 2
Here is crystalline AcPm7Tl2 at its relaxed geometry from the Alexandria database. Energies are from PBE.

Geometry as POSCAR:
```
AcPm7Tl2
1.0
-4.1026 1.0855 -3.7859
4.7183 -4.4969 -6.4023
-5.9647 -4.6430 5.1323
Pm Tl Ac
7 2 1
direct
0.0000 0.7636 0.2364
0.5000 0.5000 0.5000
0.5000 0.9426 0.6964
0.5000 0.0574 0.3036
0.5000 0.3036 0.0574
0.5000 0.6964 0.9426
0.0000 0.2364 0.7636
0.5000 0.6952 0.3048
0.5000 0.3048 0.6952
0.0000 0.0000 0.0000
```

Formation energy (eV per formula unit): 3.2
VASP energy (eV per atom): -3.894

What is the formation energy in the first record? -0.6 eV per formula unit

What is the formula in the first record? AcPmTl

Which formula does entry 2 have? AcPm7Tl2